A geometry-optimized LiMgMoRu structure. Source: the Alexandria database, functional GGA-PBE.

Cell: 4.3655 4.3655 4.3655 Å, 60.00 60.00 60.00°
Closest atoms and distances in Å follow each position.
Fractional coordinates of all 4 atoms:
1 Li 0.0000 0.0000 0.0000  4 Mo 2.67, 4 Mg 2.67
2 Mg 0.7500 0.7500 0.7500  4 Ru 2.67, 4 Li 2.67
3 Mo 0.2500 0.2500 0.2500  4 Ru 2.67, 4 Li 2.67
4 Ru 0.5000 0.5000 0.5000  4 Mo 2.67, 4 Mg 2.67

Crystal system: cubic
DOS(E_F), states/eV/cell: 3.70
Energy, eV per atom: -5.84
Energy relative to the elements, eV/atom: 0.07